VASP calculation (PBE) on a geometry-optimized KCa2Mg structure.

a = 5.2034 Å, b = 5.2034 Å, c = 25.7503 Å
α = 90.00°, β = 90.00°, γ = 90.00°
Closest atoms and distances in Å follow each position.
Space group I-42d (No. 122)
Unique sites:
K: 0.0000 0.0000 0.0000 x4  4 Mg 3.68, 4 Ca 3.74
Ca: 0.2338 0.2500 0.6250 x8  4 Ca 3.56-3.80, 2 Mg 3.68, 2 K 3.74
Mg: 0.0000 0.0000 0.5000 x4  4 Ca 3.68, 4 K 3.68

Summary:
magnetization = 0.00 μB/cell
calculated density = 1.368 g/cm³

VASP calculation (PBE) on a geometry-optimized Ti2MnReAu structure.

a = 4.4434 Å, b = 4.4434 Å, c = 4.4189 Å
α = 90.00°, β = 90.00°, γ = 90.00°
Closest atoms and distances in Å follow each position.
Space group P4/mmm (No. 123)
Unique sites:
Ti: 0.0000 0.5000 0.0000 x2  2 Mn 2.22
Mn: 0.0000 0.0000 0.0000 x1  2 Re 2.21, 4 Ti 2.22
Re: 0.0000 0.0000 0.5000 x1  2 Mn 2.21
Au: 0.5000 0.5000 0.5000 x1  8 Ti 3.13, 4 Re 3.14

Summary:
magnetization = 0.00 μB/cell
calculated density = 10.161 g/cm³

| no. | formation energy from the elements (kJ per mole of atoms) |
| --- | --- |
| 1 | 32 |
| 2 | 51 |